[1]
DFT (PBEsol) results for a geometry-optimized Fe3RuI structure.

Calculated values
Raw formation energy, eV/atom: 1.45

```
data_Fe3RuI
_symmetry_space_group_name_H-M 'P m -3 m'
_symmetry_Int_Tables_number 221
_symmetry_space_group_name_Hall '-P 4 2 3'
_cell_length_a 4.592
_cell_length_b 4.592
_cell_length_c 4.592
_cell_angle_alpha 90.00
_cell_angle_beta 90.00
_cell_angle_gamma 90.00
loop_
_atom_site_label
_atom_site_fract_x
_atom_site_fract_y
_atom_site_fract_z
_atom_site_occupancy
Fe1 0.000 0.000 0.500 1
Ru1 0.000 0.000 0.000 1
I1 0.500 0.500 0.500 1
```

***

[2]
DFT (PBEsol) results for a geometry-optimized FeS3I structure.

Calculated values
Raw formation energy, eV/atom: 1.34

```
data_FeS3I
_symmetry_space_group_name_H-M 'P m -3 m'
_symmetry_Int_Tables_number 221
_symmetry_space_group_name_Hall '-P 4 2 3'
_cell_length_a 4.998
_cell_length_b 4.998
_cell_length_c 4.998
_cell_angle_alpha 90.00
_cell_angle_beta 90.00
_cell_angle_gamma 90.00
loop_
_atom_site_label
_atom_site_fract_x
_atom_site_fract_y
_atom_site_fract_z
_atom_site_occupancy
Fe1 0.000 0.000 0.000 1
S1 0.000 0.500 0.500 1
I1 0.500 0.500 0.500 1
```

***

[3]
DFT (PBEsol) results for a geometry-optimized FeS2I structure.

Calculated values
Raw formation energy, eV/atom: -0.19

```
data_FeS2I
_symmetry_space_group_name_H-M 'R -3 m'
_symmetry_Int_Tables_number 166
_symmetry_space_group_name_Hall '-R 3 2"'
_cell_length_a 3.4673
_cell_length_b 3.4673
_cell_length_c 22.2792
_cell_angle_alpha 90.00
_cell_angle_beta 90.00
_cell_angle_gamma 120.00
loop_
_atom_site_label
_atom_site_fract_x
_atom_site_fract_y
_atom_site_fract_z
_atom_site_occupancy
Fe1 0.0000 0.0000 0.0000 1
S1 0.0000 0.0000 0.3802 1
I1 0.0000 0.0000 0.5000 1
```

***

[4]
DFT (PBEsol) results for a geometry-optimized FeTeSI2 structure.

Calculated values
Raw formation energy, eV/atom: 0.96

```
data_FeTeSI2
_symmetry_space_group_name_H-M 'P 4/m m m'
_symmetry_Int_Tables_number 123
_symmetry_space_group_name_Hall '-P 4 2'
_cell_length_a 5.225
_cell_length_b 5.225
_cell_length_c 5.481
_cell_angle_alpha 90.00
_cell_angle_beta 90.00
_cell_angle_gamma 90.00
loop_
_atom_site_label
_atom_site_fract_x
_atom_site_fract_y
_atom_site_fract_z
_atom_site_occupancy
Fe1 0.000 0.000 0.000 1
Te1 0.500 0.500 0.000 1
S1 0.500 0.500 0.500 1
I1 0.000 0.500 0.500 1
```

***

[5]
DFT (PBEsol) results for a geometry-optimized Fe3SbI structure.

Calculated values
Raw formation energy, eV/atom: 1.26

```
data_Fe3SbI
_symmetry_space_group_name_H-M 'P m -3 m'
_symmetry_Int_Tables_number 221
_symmetry_space_group_name_Hall '-P 4 2 3'
_cell_length_a 4.914
_cell_length_b 4.914
_cell_length_c 4.914
_cell_angle_alpha 90.00
_cell_angle_beta 90.00
_cell_angle_gamma 90.00
loop_
_atom_site_label
_atom_site_fract_x
_atom_site_fract_y
_atom_site_fract_z
_atom_site_occupancy
Fe1 0.000 0.000 0.500 1
Sb1 0.000 0.000 0.000 1
I1 0.500 0.500 0.500 1
```

***

[6]
DFT (PBEsol) results for a geometry-optimized TaFeSbI2 structure.

Calculated values
Raw formation energy, eV/atom: 1.10

```
data_TaFeSbI2
_symmetry_space_group_name_H-M 'P 4/m m m'
_symmetry_Int_Tables_number 123
_symmetry_space_group_name_Hall '-P 4 2'
_cell_length_a 5.367
_cell_length_b 5.367
_cell_length_c 5.460
_cell_angle_alpha 90.00
_cell_angle_beta 90.00
_cell_angle_gamma 90.00
loop_
_atom_site_label
_atom_site_fract_x
_atom_site_fract_y
_atom_site_fract_z
_atom_site_occupancy
Ta1 0.000 0.000 0.000 1
Fe1 0.500 0.500 0.500 1
Sb1 0.000 0.000 0.500 1
I1 0.000 0.500 0.000 1
```